Here is crystalline Pu3CuSb2 at its relaxed geometry from Alexandria via LeMat-Bulk. Energies are from PBE.

a = 13.304 Å, b = 4.614 Å, c = 9.253 Å
α = 90.00°, β = 90.00°, γ = 90.00°
Positions (direct):
Pu  0.065  0.250  0.077
Pu  0.159  0.750  0.547
Pu  0.200  0.750  0.267
Pu  0.300  0.250  0.767
Pu  0.341  0.250  0.047
Pu  0.435  0.750  0.577
Pu  0.565  0.250  0.423
Pu  0.659  0.750  0.953
Pu  0.700  0.750  0.233
Pu  0.800  0.250  0.733
Pu  0.841  0.250  0.453
Pu  0.935  0.750  0.923
Cu  0.066  0.250  0.397
Cu  0.434  0.750  0.897
Cu  0.566  0.250  0.103
Cu  0.934  0.750  0.603
Sb  0.033  0.250  0.702
Sb  0.194  0.750  0.927
Sb  0.306  0.250  0.427
Sb  0.467  0.750  0.202
Sb  0.533  0.250  0.798
Sb  0.694  0.750  0.573
Sb  0.806  0.250  0.073
Sb  0.967  0.750  0.298

raw formation energy = -0.349 eV/atom
calculated total energy = -229.727 eV for the cell shown